Record 1
This record from the Alexandria database describes an optimized crystal structure of CsRbTePdSe. The functional is PBE.

Cell lengths 5.5091, 6.1924, 7.0213 Å; angles 84.52, 67.27, 89.68 degrees
Last column: nearest neighbours and their distance in Å.
Positions (direct):
Cs  0.1124  0.7617  0.6292  2 Pd 3.55-3.57, 2 Se 3.72-3.74, 3 Te 3.76-3.93
Rb  0.3626  0.2854  0.1209  2 Pd 3.47-3.48, 2 Te 3.77, 1 Se 3.77
Te  0.8147  0.6810  0.2128  1 Pd 2.56, 1 Se 2.67
Pd  0.7376  0.0403  0.3755  1 Se 2.42, 1 Te 2.56
Se  0.6623  0.3769  0.5360  1 Pd 2.42, 1 Te 2.67

Output
DOS(E_F), states/eV per cell: 0.297
E, eV per atom: -3.3799
Space group: P1
M_tot, μB/f.u.: 0.00

=====

Record 2
This record from the Alexandria database describes an optimized crystal structure of CsRbTePdSe. The functional is PBE.

Cell lengths 5.3482, 4.4087, 15.9375 Å; angles 90.00, 90.00, 90.00 degrees
Last column: nearest neighbours and their distance in Å.
Positions (direct):
Cs  0.5000  0.0000  0.5119  1 Rb 3.90, 4 Se 3.93, 2 Pd 3.93, 4 Te 4.27
Cs  0.5000  0.5000  0.0119  1 Rb 3.90, 4 Se 3.93, 2 Pd 3.93, 4 Te 4.27
Rb  0.5000  0.0000  0.7568  2 Se 3.47, 4 Pd 3.66, 4 Te 3.74
Rb  0.5000  0.5000  0.2568  2 Se 3.47, 4 Pd 3.66, 4 Te 3.74
Te  0.0000  0.0000  0.1687  1 Pd 2.59
Te  0.0000  0.5000  0.6687  1 Pd 2.59
Pd  0.0000  0.0000  0.3312  2 Se 2.43, 1 Te 2.59
Pd  0.0000  0.5000  0.8312  2 Se 2.43, 1 Te 2.59
Se  0.0000  0.0000  0.8960  2 Pd 2.43
Se  0.0000  0.5000  0.3960  2 Pd 2.43

Output
DOS(E_F), states/eV per cell: 5.231
E, eV per atom: -3.4388
Space group: Amm2
M_tot, μB/f.u.: 0.00

=====

Record 3
This record from the Alexandria database describes an optimized crystal structure of CsRbTePdSe. The functional is PBE.

Cell lengths 4.0075, 7.0318, 7.0998 Å; angles 69.56, 73.87, 73.71 degrees
Last column: nearest neighbours and their distance in Å.
Positions (direct):
Cs  0.8787  0.7051  0.4693  3 Se 3.65-3.78, 3 Te 3.72-3.84, 2 Pd 3.90-3.93, 2 Cs 4.01
Rb  0.2601  0.3181  0.0815  3 Te 3.63-3.85, 3 Se 3.66-3.84, 2 Pd 3.88-3.91, 2 Rb 4.01
Te  0.5658  0.8257  0.9677  2 Pd 2.66
Pd  0.0678  0.0405  0.7487  2 Se 2.56, 2 Te 2.66
Se  0.5702  0.2363  0.5481  2 Pd 2.56

Output
E, eV per atom: -3.5641
Space group: P1
M_tot, μB/f.u.: 0.00

=====

Record 4
This record from the Alexandria database describes an optimized crystal structure of CsRbTePdSe. The functional is PBE.

Cell lengths 5.7620, 5.2432, 6.3937 Å; angles 90.00, 95.18, 90.00 degrees
Last column: nearest neighbours and their distance in Å.
Positions (direct):
Cs  0.5049  0.5000  0.5074  2 Pd 3.43, 1 Rb 3.80
Rb  0.0831  0.5000  0.0150  2 Pd 3.47, 2 Se 3.58, 2 Te 3.72, 1 Cs 3.80
Te  0.6351  0.0000  0.0682  1 Pd 2.58, 1 Se 2.70
Pd  0.8299  0.0000  0.7205  1 Se 2.44, 1 Te 2.58
Se  0.9864  0.0000  0.3785  1 Pd 2.44, 1 Te 2.70

Output
DOS(E_F), states/eV per cell: 0.659
E, eV per atom: -3.3704
Space group: Pm
M_tot, μB/f.u.: 0.00

=====

Record 5
This record from the Alexandria database describes an optimized crystal structure of CsRbTePdSe. The functional is PBE.

Cell lengths 4.4384, 5.5469, 16.6955 Å; angles 90.00, 90.00, 90.00 degrees
Last column: nearest neighbours and their distance in Å.
Positions (direct):
Cs  0.0000  0.5000  0.6454  2 Pd 3.82, 2 Te 3.87, 4 Se 3.91
Cs  0.5000  0.0000  0.1454  2 Pd 3.82, 2 Te 3.87, 4 Se 3.91
Rb  0.0000  0.0000  0.3896  2 Se 3.69, 4 Te 3.72, 4 Pd 3.84
Rb  0.5000  0.5000  0.8896  2 Se 3.69, 4 Te 3.72, 4 Pd 3.84
Te  0.0000  0.0000  0.9558  1 Pd 2.56
Te  0.5000  0.5000  0.4558  1 Pd 2.56
Pd  0.0000  0.0000  0.8024  2 Se 2.43, 1 Te 2.56
Pd  0.5000  0.5000  0.3024  2 Se 2.43, 1 Te 2.56
Se  0.0000  0.5000  0.2436  2 Pd 2.43
Se  0.5000  0.0000  0.7436  2 Pd 2.43

Output
DOS(E_F), states/eV per cell: 3.101
E, eV per atom: -3.4428
Space group: Imm2
M_tot, μB/f.u.: 0.00

=====

Record 6
This record from the Alexandria database describes an optimized crystal structure of CsRbTePdSe. The functional is PBE.

Cell lengths 4.0140, 6.1391, 16.0716 Å; angles 90.00, 90.12, 90.00 degrees
Last column: nearest neighbours and their distance in Å.
Positions (direct):
Cs  0.7391  0.0000  0.3366  2 Se 3.48
Cs  0.7391  0.5000  0.8366  2 Se 3.48
Te  0.2371  0.0000  0.9502  2 Pd 2.66-2.67
Te  0.2371  0.5000  0.4502  2 Pd 2.66-2.67
Se  0.2373  0.0000  0.1598  2 Pd 2.57-2.58
Se  0.2373  0.5000  0.6598  2 Pd 2.57-2.58
Pd  0.7386  0.0000  0.0593  2 Se 2.57-2.58, 2 Te 2.66-2.67
Pd  0.7386  0.5000  0.5593  2 Se 2.57-2.58, 2 Te 2.66-2.67
Rb  0.2724  0.0000  0.5865  2 Se 3.29, 2 Pd 3.62
Rb  0.2724  0.5000  0.0865  2 Se 3.29, 2 Pd 3.62

Output
E, eV per atom: -3.5318
Space group: Cm
M_tot, μB/f.u.: 0.00